A plane-wave DFT calculation with PBE was carried out for a relaxed structure of CeYTeN2.

Values from the calculation:
theoretical density = 6.01 g/cm³
volume = 212 Å³/cell
E_tot = -77.43 eV/cell

Unit cell a=3.988 b=3.988 c=13.359 alpha=90.00 beta=90.00 gamma=90.00
Positions (direct):
Ce (0.000, 0.000, 0.000)
Ce (0.500, 0.500, 0.500)
Y (0.000, 0.000, 0.660)
Y (0.500, 0.500, 0.160)
Te (0.000, 0.000, 0.330)
Te (0.500, 0.500, 0.830)
N (0.000, 0.500, 0.077)
N (0.000, 0.500, 0.577)
N (0.500, 0.000, 0.077)
N (0.500, 0.000, 0.577)

---

A plane-wave DFT calculation with PBE was carried out for a relaxed structure of CeYTe2N.

Values from the calculation:
theoretical density = 6.03 g/cm³
volume = 274 Å³/cell
E_tot = -68.02 eV/cell

Unit cell a=4.166 b=4.166 c=15.816 alpha=90.00 beta=90.00 gamma=90.00
Positions (direct):
Ce (0.250, 0.250, 0.066)
Ce (0.750, 0.750, 0.934)
Y (0.250, 0.250, 0.633)
Y (0.750, 0.750, 0.367)
Te (0.250, 0.250, 0.417)
Te (0.250, 0.250, 0.814)
Te (0.750, 0.750, 0.186)
Te (0.750, 0.750, 0.583)
N (0.250, 0.750, 0.000)
N (0.750, 0.250, 0.000)